Density functional theory data (GGA-PBE) for crystalline CsRb6Ag at its relaxed geometry.

calculated formation energy: 0.06 eV/atom

Cell and atoms, written as CIF:
```
data_CsRb6Ag
_cell_length_a 5.3372
_cell_length_b 14.8370
_cell_length_c 16.2637
_cell_angle_alpha 90.00
_cell_angle_beta 90.00
_cell_angle_gamma 90.00
_symmetry_space_group_name_H-M 'A m m 2'
_symmetry_Int_Tables_number 38
_symmetry_space_group_name_Hall 'A 2 -2'
loop_
_atom_site_label
_atom_site_type_symbol
_atom_site_fract_x
_atom_site_fract_y
_atom_site_fract_z
Cs1 Cs 0.0000 0.0000 0.0000
Rb1 Rb 0.0000 0.0000 0.5007
Rb2 Rb 0.0000 0.1680 0.7464
Rb3 Rb 0.5000 0.0000 0.2564
Rb4 Rb 0.5000 0.2323 0.5128
Ag1 Ag 0.5000 0.0000 0.6566
```

Density functional theory data (GGA-PBE) for crystalline AgGeTe4As2 at its relaxed geometry.

energy relative to the elements, uncorrected: 0.01 eV per atom

Cell and atoms, written as CIF:
```
data_AgGeTe4As2
_cell_length_a 8.3919
_cell_length_b 11.8082
_cell_length_c 8.4119
_cell_angle_alpha 90.00
_cell_angle_beta 90.00
_cell_angle_gamma 90.00
_symmetry_space_group_name_H-M 'F m m 2'
_symmetry_Int_Tables_number 42
_symmetry_space_group_name_Hall 'F 2 -2'
loop_
_atom_site_label
_atom_site_type_symbol
_atom_site_fract_x
_atom_site_fract_y
_atom_site_fract_z
Ag1 Ag 0.0000 0.0000 0.0000
Ge1 Ge 0.0000 0.0000 0.4949
Te1 Te 0.0000 0.2497 0.0071
Te2 Te 0.2477 0.0000 0.2565
As1 As 0.2500 0.2500 0.2541
```

Number 1: energy -1.13 eV/atom. Number 2: energy -3.66 eV/atom.